The following is a PBE calculation of a relaxed Rb3Sn2Pt4 crystal, from Alexandria.

```
Rb3Sn2Pt4
1.0
6.465 -2.256 0.000
6.465 2.256 0.000
-3.373 0.000 9.014
Rb Sn Pt
3 2 4
direct
0.000 0.000 0.000
0.369 0.369 0.630
0.631 0.631 0.370
0.325 0.325 0.228
0.675 0.675 0.772
0.079 0.079 0.628
0.252 0.252 0.918
0.748 0.748 0.082
0.921 0.921 0.372
```

Output
total energy: -37.87 eV per cell
DFT formation energy: -0.31 eV per atom

The following is a PBE calculation of a relaxed PrSc3Cu8 crystal, from Alexandria.

```
PrSc3Cu8
1.0
5.149 0.000 0.000
-2.574 4.459 0.000
0.000 0.000 8.377
Pr Sc Cu
1 3 8
direct
0.000 0.000 0.000
0.000 0.000 0.396
0.667 0.333 0.481
0.667 0.333 0.854
0.168 0.335 0.677
0.168 0.832 0.677
0.333 0.667 0.430
0.333 0.667 0.932
0.502 0.003 0.192
0.502 0.498 0.192
0.665 0.832 0.677
0.997 0.498 0.192
```

Output
total energy: -58.84 eV per cell
DFT formation energy: -0.19 eV per atom

The following is a PBE calculation of a relaxed LaPd2Au10 crystal, from Alexandria.

```
LaPd2Au10
1.0
0.000 6.559 6.804
2.822 0.000 6.804
2.822 6.559 0.000
La Pd Au
1 2 10
direct
0.000 0.000 0.000
0.000 0.000 0.500
0.500 0.500 0.000
0.000 0.500 0.000
0.008 0.656 0.344
0.285 0.503 0.497
0.344 0.992 0.008
0.497 0.715 0.285
0.500 0.000 0.500
0.503 0.285 0.715
0.656 0.008 0.992
0.715 0.497 0.503
0.992 0.344 0.656
```

Output
total energy: -51.59 eV per cell
DFT formation energy: -0.27 eV per atom

The following is a PBE calculation of a relaxed TbHgGe crystal, from Alexandria.

```
TbHgGe
1.0
2.189 -8.099 0.000
2.189 8.099 0.000
0.000 0.000 4.009
Tb Hg Ge
2 2 2
direct
0.092 0.908 0.750
0.908 0.092 0.250
0.266 0.734 0.250
0.734 0.266 0.750
0.443 0.557 0.750
0.557 0.443 0.250
```

Output
total energy: -22.26 eV per cell
DFT formation energy: -0.53 eV per atom

The following is a PBE calculation of a relaxed LaTh4Zn5 crystal, from Alexandria.

```
LaTh4Zn5
1.0
3.683 0.000 0.000
0.000 3.683 0.000
0.000 0.000 18.429
La Th Zn
1 4 5
direct
0.000 0.000 0.000
0.000 0.000 0.203
0.000 0.000 0.401
0.000 0.000 0.599
0.000 0.000 0.797
0.500 0.500 0.104
0.500 0.500 0.302
0.500 0.500 0.500
0.500 0.500 0.698
0.500 0.500 0.896
```

Output
total energy: -43.01 eV per cell
DFT formation energy: -0.20 eV per atom

The following is a PBE calculation of a relaxed SiHgI3 crystal, from Alexandria.

```
SiHgI3
1.0
12.024 0.000 0.000
0.000 5.777 0.000
-1.192 0.000 13.587
Si Hg I
4 4 12
direct
0.029 0.185 0.034
0.029 0.315 0.534
0.971 0.685 0.466
0.971 0.815 0.966
0.420 0.250 0.371
0.420 0.250 0.871
0.580 0.750 0.129
0.580 0.750 0.629
0.042 0.111 0.366
0.042 0.389 0.866
0.228 0.141 0.102
0.228 0.359 0.602
0.417 0.750 0.369
0.417 0.750 0.869
0.583 0.250 0.131
0.583 0.250 0.631
0.772 0.641 0.398
0.772 0.859 0.898
0.958 0.611 0.134
0.958 0.889 0.634
```

Output
total energy: -43.68 eV per cell
energy relative to the lowest polymorph listed for this composition: 0 meV per atom
ΔE_f (raw): -0.11 eV/atom